[1]
{"formula": "CuPOs3", "functional": "PBE-GGA", "state": "relaxed", "cell": [[4.3379, 0.0000, 0.0000], [0.0000, 4.3379, 0.0000], [0.0000, 0.0000, 4.3379]], "species": ["Cu", "P", "Os", "Os", "Os"], "frac_coords": [[0.0000, 0.0000, 0.0000], [0.5000, 0.5000, 0.5000], [0.0000, 0.5000, 0.5000], [0.5000, 0.0000, 0.5000], [0.5000, 0.5000, 0.0000]], "rho_g_cm3": 13.53, "total_magnetization_mub_per_fu": 1.57, "dos_at_fermi_per_ev_fu": 3.44, "de_polymorph_ev_per_atom": 0.0000}

=====

[2]
{"formula": "CuPOs4", "functional": "PBE-GGA", "state": "relaxed", "cell": [[0.0000, 3.6365, 3.6365], [3.6365, 0.0000, 3.6365], [3.6365, 3.6365, 0.0000]], "species": ["Cu", "P", "Os", "Os", "Os", "Os"], "frac_coords": [[0.0000, 0.0000, 0.0000], [0.2500, 0.2500, 0.2500], [0.1254, 0.6249, 0.6249], [0.6249, 0.1254, 0.6249], [0.6249, 0.6249, 0.1254], [0.6249, 0.6249, 0.6249]], "rho_g_cm3": 14.77, "total_magnetization_mub_per_fu": 0.00, "dos_at_fermi_per_ev_fu": 7.94, "dft_energy_ev_per_atom": -7.966}

=====

[3]
{"formula": "Cu3POs", "functional": "PBE-GGA", "state": "relaxed", "cell": [[4.6099, 0.0000, 0.0000], [0.0000, 4.6099, 0.0000], [0.0000, 0.0000, 4.6099]], "species": ["Cu", "Cu", "Cu", "P", "Os"], "frac_coords": [[0.0000, 0.0000, 0.5000], [0.0000, 0.5000, 0.0000], [0.5000, 0.0000, 0.0000], [0.5000, 0.5000, 0.5000], [0.0000, 0.0000, 0.0000]], "rho_g_cm3": 6.98, "total_magnetization_mub_per_fu": 0.00, "dos_at_fermi_per_ev_fu": 4.09, "de_polymorph_ev_per_atom": 0.7111}

=====

[4]
{"formula": "CuPOs2", "functional": "PBE-GGA", "state": "relaxed", "cell": [[2.7325, -4.1176, 0.0000], [2.7325, 4.1176, 0.0000], [-1.3476, 0.0000, 2.4399]], "species": ["Cu", "P", "Os", "Os"], "frac_coords": [[0.0000, 0.0000, 0.0000], [0.5000, 0.5000, 0.0000], [0.0000, 0.5000, 0.5000], [0.5000, 0.0000, 0.5000]], "rho_g_cm3": 14.37, "total_magnetization_mub_per_fu": 0.00, "dos_at_fermi_per_ev_fu": 3.48, "dft_energy_ev_per_atom": -7.484}

=====

[5]
{"formula": "CuPOs2", "functional": "PBE-GGA", "state": "relaxed", "cell": [[1.4144, -2.4350, 0.0000], [1.4144, 2.4350, 0.0000], [0.0000, 0.0000, 8.1557]], "species": ["Cu", "P", "Os", "Os"], "frac_coords": [[0.0000, 0.0000, 0.0000], [0.0000, 0.0000, 0.5000], [0.5000, 0.5000, 0.2768], [0.5000, 0.5000, 0.7232]], "rho_g_cm3": 14.04, "total_magnetization_mub_per_fu": 0.00, "dos_at_fermi_per_ev_fu": 2.01, "dft_energy_ev_per_atom": -7.526}

=====

[6]
{"formula": "CuP2Os", "functional": "PBE-GGA", "state": "relaxed", "cell": [[0.0000, 2.9940, 2.9940], [2.9940, 0.0000, 2.9940], [2.9940, 2.9940, 0.0000]], "species": ["Cu", "P", "P", "Os"], "frac_coords": [[0.0000, 0.0000, 0.0000], [0.2500, 0.2500, 0.2500], [0.5000, 0.5000, 0.5000], [0.7500, 0.7500, 0.7500]], "rho_g_cm3": 9.77, "total_magnetization_mub_per_fu": 0.00, "dos_at_fermi_per_ev_fu": 2.81, "de_polymorph_ev_per_atom": 0.7274}